Entry w
Below is an optimized crystal structure of Sr2HfMo, with properties calculated at the GGA-PBE level.

a b c (Å): 11.8145 11.8145 4.8156
angles (deg): 90.00 90.00 90.00
Closest atoms and distances in Å follow each position.
Space group I-42d (No. 122)
Unique sites:
Sr (0.0825, 0.2500, 0.1250)  2 Mo 3.17
Hf (0.0000, 0.0000, 0.5000)  2 Mo 2.41
Mo (0.0000, 0.0000, 0.0000)  2 Hf 2.41

Values from the calculation:
Calculated volume ... 42.01 Å³ per atom
DOS(E_F) ... 0.91 states/eV/atom
M_tot ... 0.00 μB/cell

---

Entry x
Below is an optimized crystal structure of Sr2HfMo, with properties calculated at the GGA-PBE level.

a b c (Å): 7.7980 7.7980 7.7980
angles (deg): 90.00 90.00 90.00
Closest atoms and distances in Å follow each position.
Space group Fm-3m (No. 225)
Unique sites:
Sr (0.2500, 0.2500, 0.2500)  4 Hf 3.38, 4 Mo 3.38
Hf (0.0000, 0.0000, 0.0000)  8 Sr 3.38
Mo (0.0000, 0.0000, 0.5000)  8 Sr 3.38

Values from the calculation:
Calculated volume ... 29.64 Å³ per atom
DOS(E_F) ... 1.94 states/eV/atom
M_tot ... 6.75 μB/cell

---

Stability, lowest: entry x

---

Entry w
Below is an optimized crystal structure of SrHfMo2, with properties calculated at the GGA-PBE level.

a b c (Å): 4.9066 4.9066 19.1003
angles (deg): 90.00 90.00 90.00
Closest atoms and distances in Å follow each position.
Space group I-42d (No. 122)
Unique sites:
Sr (0.0000, 0.0000, 0.0000)  4 Hf 3.47, 8 Mo 3.54-3.73
Hf (0.0000, 0.0000, 0.5000)  4 Mo 2.69
Mo (0.0284, 0.2500, 0.6250)  2 Mo 2.47, 2 Hf 2.69

Values from the calculation:
Calculated volume ... 28.74 Å³ per atom
DOS(E_F) ... 1.97 states/eV/atom
M_tot ... 0.00 μB/cell

---

Entry x
Below is an optimized crystal structure of SrHfMo2, with properties calculated at the GGA-PBE level.

a b c (Å): 6.9292 6.9292 6.9292
angles (deg): 90.00 90.00 90.00
Closest atoms and distances in Å follow each position.
Space group Fm-3m (No. 225)
Unique sites:
Sr (0.0000, 0.0000, 0.0000)  8 Mo 3.00
Hf (0.0000, 0.0000, 0.5000)  8 Mo 3.00
Mo (0.2500, 0.2500, 0.2500)  4 Hf 3.00, 4 Sr 3.00

Values from the calculation:
Calculated volume ... 20.79 Å³ per atom
DOS(E_F) ... 1.98 states/eV/atom
M_tot ... 3.11 μB/cell

---

Stability, lowest: entry w

---

Entry w
Below is an optimized crystal structure of SrHf3Mo, with properties calculated at the GGA-PBE level.

a b c (Å): 5.1778 5.1778 5.1778
angles (deg): 90.00 90.00 90.00
Closest atoms and distances in Å follow each position.
Space group Pm-3m (No. 221)
Unique sites:
Sr (0.0000, 0.0000, 0.0000)  12 Hf 3.66
Hf (0.0000, 0.5000, 0.5000)  2 Mo 2.59
Mo (0.5000, 0.5000, 0.5000)  6 Hf 2.59

Values from the calculation:
Calculated volume ... 27.76 Å³ per atom
DOS(E_F) ... 1.71 states/eV/atom
M_tot ... 0.00 μB/cell

---

Entry x
Below is an optimized crystal structure of SrHf3Mo, with properties calculated at the GGA-PBE level.

a b c (Å): 4.9445 4.9445 4.9445
angles (deg): 90.00 90.00 90.00
Closest atoms and distances in Å follow each position.
Space group Pm-3m (No. 221)
Unique sites:
Sr (0.0000, 0.0000, 0.0000)  6 Hf 2.47
Hf (0.0000, 0.0000, 0.5000)  2 Sr 2.47
Mo (0.5000, 0.5000, 0.5000)  12 Hf 3.50

Values from the calculation:
Calculated volume ... 24.18 Å³ per atom
DOS(E_F) ... 1.66 states/eV/atom
M_tot ... 0.00 μB/cell

---

Stability, lowest: entry x

---

Entry w
Below is an optimized crystal structure of SrHf2Mo, with properties calculated at the GGA-PBE level.

a b c (Å): 7.1053 7.1053 7.1053
angles (deg): 90.00 90.00 90.00
Closest atoms and distances in Å follow each position.
Space group Fm-3m (No. 225)
Unique sites:
Sr (0.0000, 0.0000, 0.0000)  8 Hf 3.08
Hf (0.2500, 0.2500, 0.2500)  4 Mo 3.08, 4 Sr 3.08
Mo (0.0000, 0.0000, 0.5000)  8 Hf 3.08

Values from the calculation:
Calculated volume ... 22.42 Å³ per atom
DOS(E_F) ... 1.47 states/eV/atom
M_tot ... 0.00 μB/cell

---

Entry x
Below is an optimized crystal structure of SrHf2Mo, with properties calculated at the GGA-PBE level.

a b c (Å): 7.1651 7.1651 7.1651
angles (deg): 90.00 90.00 90.00
Closest atoms and distances in Å follow each position.
Space group F-43m (No. 216)
Unique sites:
Sr (0.0000, 0.0000, 0.0000)  4 Hf 3.10, 4 Mo 3.10
Hf (0.0000, 0.0000, 0.5000)  4 Mo 3.10, 4 Hf 3.10
Hf (0.2500, 0.2500, 0.2500)  4 Hf 3.10, 4 Sr 3.10
Mo (0.2500, 0.2500, 0.7500)  4 Hf 3.10, 4 Sr 3.10

Values from the calculation:
Calculated volume ... 22.99 Å³ per atom
DOS(E_F) ... 1.41 states/eV/atom
M_tot ... 1.87 μB/cell

---

Entry y
Below is an optimized crystal structure of SrHf2Mo, with properties calculated at the GGA-PBE level.

a b c (Å): 5.7349 5.7349 16.9204
angles (deg): 90.00 90.00 90.00
Closest atoms and distances in Å follow each position.
Space group I4_1/amd (No. 141, origin choice 2)
Unique sites:
Sr (0.0000, 0.2500, 0.3750)  8 Hf 3.84, 4 Mo 4.06
Hf (0.0000, 0.0000, 0.0000)  2 Mo 2.56
Mo (0.0000, 0.2500, 0.8750)  4 Hf 2.56

Values from the calculation:
Calculated volume ... 34.78 Å³ per atom
DOS(E_F) ... 1.02 states/eV/atom
M_tot ... 0.00 μB/cell

---

Stability, lowest: entry y

---

Entry w
Below is an optimized crystal structure of HfTa2Mo, with properties calculated at the GGA-PBE level.

a b c (Å): 3.1147 3.1147 27.0944
angles (deg): 90.00 90.00 120.00
Closest atoms and distances in Å follow each position.
Space group R-3m (No. 166, hexagonal axes)
Unique sites:
Hf (0.0000, 0.0000, 0.0000)  6 Ta 3.05, 6 Hf 3.11
Ta (0.0000, 0.0000, 0.2422)  3 Mo 2.72
Mo (0.0000, 0.0000, 0.5000)  6 Ta 2.72

Values from the calculation:
Calculated volume ... 18.97 Å³ per atom
DOS(E_F) ... 1.43 states/eV/atom
M_tot ... 0.00 μB/cell

---

Entry x
Below is an optimized crystal structure of HfTa2Mo, with properties calculated at the GGA-PBE level.

a b c (Å): 3.2960 4.7241 9.4416
angles (deg): 90.00 90.00 90.00
Closest atoms and distances in Å follow each position.
Space group Immm (No. 71)
Unique sites:
Hf (0.0000, 0.0000, 0.0000)  4 Mo 2.88, 4 Ta 3.01
Ta (0.0000, 0.5000, 0.2328)  2 Mo 2.75, 4 Ta 2.90, 2 Hf 3.01
Mo (0.0000, 0.0000, 0.5000)  4 Ta 2.75, 4 Hf 2.88

Values from the calculation:
Calculated volume ... 18.38 Å³ per atom
DOS(E_F) ... 0.94 states/eV/atom
M_tot ... 0.00 μB/cell

---

Stability, lowest: entry w

---

Entry w
Below is an optimized crystal structure of HfTa2Mo, with properties calculated at the GGA-PBE level.

a b c (Å): 4.6878 4.6878 3.3251
angles (deg): 90.00 90.00 90.00
Closest atoms and distances in Å follow each position.
Space group P4/mmm (No. 123)
Unique sites:
Hf (0.0000, 0.0000, 0.0000)  8 Ta 2.87
Ta (0.0000, 0.5000, 0.5000)  4 Hf 2.87, 4 Mo 2.87
Mo (0.5000, 0.5000, 0.0000)  8 Ta 2.87

Values from the calculation:
Calculated volume ... 18.27 Å³ per atom
DOS(E_F) ... 1.32 states/eV/atom
M_tot ... 0.00 μB/cell

---

Entry x
Below is an optimized crystal structure of HfTa2Mo, with properties calculated at the GGA-PBE level.

a b c (Å): 3.2550 3.2550 6.9775
angles (deg): 90.00 90.00 90.00
Closest atoms and distances in Å follow each position.
Space group P4/mmm (No. 123)
Unique sites:
Hf (0.0000, 0.0000, 0.0000)  8 Ta 3.01, 4 Hf 3.26
Ta (0.5000, 0.5000, 0.2769)  4 Mo 2.78, 4 Hf 3.01
Mo (0.0000, 0.0000, 0.5000)  8 Ta 2.78

Values from the calculation:
Calculated volume ... 18.48 Å³ per atom
DOS(E_F) ... 1.35 states/eV/atom
M_tot ... 0.00 μB/cell

---

Entry y
Below is an optimized crystal structure of HfTa2Mo, with properties calculated at the GGA-PBE level.

a b c (Å): 7.4852 7.4852 5.6586
angles (deg): 90.00 90.00 90.00
Closest atoms and distances in Å follow each position.
Space group I-42d (No. 122)
Unique sites:
Hf (0.0000, 0.0000, 0.0000)  2 Mo 2.83, 4 Ta 2.90
Ta (0.2196, 0.2500, 0.6250)  2 Mo 2.59, 2 Ta 2.87, 2 Hf 2.90
Mo (0.0000, 0.0000, 0.5000)  4 Ta 2.59, 2 Hf 2.83

Values from the calculation:
Calculated volume ... 19.82 Å³ per atom
DOS(E_F) ... 0.98 states/eV/atom
M_tot ... 0.00 μB/cell

---

Entry z
Below is an optimized crystal structure of HfTa2Mo, with properties calculated at the GGA-PBE level.

a b c (Å): 6.6299 6.6299 6.6299
angles (deg): 90.00 90.00 90.00
Closest atoms and distances in Å follow each position.
Space group Fm-3m (No. 225)
Unique sites:
Hf (0.0000, 0.0000, 0.0000)  8 Ta 2.87
Ta (0.2500, 0.2500, 0.2500)  4 Mo 2.87, 4 Hf 2.87
Mo (0.0000, 0.0000, 0.5000)  8 Ta 2.87

Values from the calculation:
Calculated volume ... 18.21 Å³ per atom
DOS(E_F) ... 1.45 states/eV/atom
M_tot ... 0.00 μB/cell

---

Stability, lowest: entry y

---

Entry w
Below is an optimized crystal structure of HfTaMo4, with properties calculated at the GGA-PBE level.

a b c (Å): 7.5151 7.5151 7.5151
angles (deg): 90.00 90.00 90.00
Closest atoms and distances in Å follow each position.
Space group F-43m (No. 216)
Unique sites:
Hf (0.0000, 0.0000, 0.0000)  12 Mo 3.12, 4 Ta 3.25
Ta (0.2500, 0.2500, 0.7500)  12 Mo 3.12, 4 Hf 3.25
Mo (0.1249, 0.1249, 0.3751)  6 Mo 2.65-2.66

Values from the calculation:
Calculated volume ... 17.68 Å³ per atom
DOS(E_F) ... 0.75 states/eV/atom
M_tot ... 0.00 μB/cell

---

Entry x
Below is an optimized crystal structure of HfTaMo4, with properties calculated at the GGA-PBE level.

a b c (Å): 4.5436 9.8524 4.5415
angles (deg): 90.00 90.00 90.00
Closest atoms and distances in Å follow each position.
Space group Cmmm (No. 65)
Unique sites:
Hf (0.0000, 0.0000, 0.0000)  8 Mo 2.84-2.85
Ta (0.0000, 0.5000, 0.5000)  8 Mo 2.85
Mo (0.0000, 0.1740, 0.5000)  4 Mo 2.72, 2 Hf 2.84, 2 Ta 2.85
Mo (0.0000, 0.3253, 0.0000)  4 Mo 2.71-2.72, 2 Ta 2.85, 2 Hf 2.85

Values from the calculation:
Calculated volume ... 16.94 Å³ per atom
DOS(E_F) ... 0.62 states/eV/atom
M_tot ... 0.00 μB/cell

---

Stability, lowest: entry w

---

Entry w
Below is an optimized crystal structure of HfTaTcMo, with properties calculated at the GGA-PBE level.

a b c (Å): 6.4934 6.4934 6.4934
angles (deg): 90.00 90.00 90.00
Closest atoms and distances in Å follow each position.
Space group F-43m (No. 216)
Unique sites:
Hf (0.0000, 0.0000, 0.0000)  4 Mo 2.81, 4 Tc 2.81
Ta (0.0000, 0.0000, 0.5000)  4 Mo 2.81, 4 Tc 2.81
Tc (0.2500, 0.2500, 0.7500)  4 Hf 2.81, 4 Ta 2.81
Mo (0.2500, 0.2500, 0.2500)  4 Hf 2.81, 4 Ta 2.81

Values from the calculation:
Calculated volume ... 17.11 Å³ per atom
DOS(E_F) ... 0.86 states/eV/atom
M_tot ... 0.00 μB/cell

---

Entry x
Below is an optimized crystal structure of HfTaTcMo, with properties calculated at the GGA-PBE level.

a b c (Å): 3.2377 3.2377 6.5466
angles (deg): 90.00 90.00 90.00
Closest atoms and distances in Å follow each position.
Space group P4mm (No. 99)
Unique sites:
Hf (0.0000, 0.0000, 0.0000)  4 Tc 2.83, 4 Mo 2.86
Ta (0.0000, 0.0000, 0.5082)  4 Tc 2.77, 4 Mo 2.80
Tc (0.5000, 0.5000, 0.7452)  4 Ta 2.77, 4 Hf 2.83
Mo (0.5000, 0.5000, 0.2624)  4 Ta 2.80, 4 Hf 2.86

Values from the calculation:
Calculated volume ... 17.16 Å³ per atom
DOS(E_F) ... 0.72 states/eV/atom
M_tot ... 0.00 μB/cell

---

Stability, lowest: entry w

---

Entry w
Below is an optimized crystal structure of HfTcMo, with properties calculated at the GGA-PBE level.

a b c (Å): 4.5359 13.8378 3.2206
angles (deg): 90.00 90.00 90.00
Closest atoms and distances in Å follow each position.
Space group Cmmm (No. 65)
Unique sites:
Hf (0.0000, 0.1683, 0.0000)  6 Tc 2.78-2.86, 2 Mo 2.83
Tc (0.0000, 0.3395, 0.5000)  2 Mo 2.74, 6 Hf 2.78-2.86
Mo (0.0000, 0.0000, 0.5000)  4 Mo 2.78, 4 Hf 2.83
Mo (0.0000, 0.5000, 0.0000)  4 Tc 2.74, 4 Mo 2.78

Values from the calculation:
Calculated volume ... 16.85 Å³ per atom
DOS(E_F) ... 0.71 states/eV/atom
M_tot ... 0.00 μB/cell

---

Entry x
Below is an optimized crystal structure of HfTcMo, with properties calculated at the GGA-PBE level.

a b c (Å): 3.2168 13.9902 4.5060
angles (deg): 90.00 90.00 90.00
Closest atoms and distances in Å follow each position.
Space group Cmcm (No. 63)
Unique sites:
Hf (0.0000, 0.0819, 0.2500)  6 Tc 2.77-2.89, 2 Mo 2.92
Tc (0.0000, 0.4101, 0.2500)  2 Mo 2.68, 6 Hf 2.77-2.89
Mo (0.0000, 0.2436, 0.7500)  2 Tc 2.68, 4 Mo 2.77, 2 Hf 2.92

Values from the calculation:
Calculated volume ... 16.90 Å³ per atom
DOS(E_F) ... 0.41 states/eV/atom
M_tot ... 0.00 μB/cell

---

Entry y
Below is an optimized crystal structure of HfTcMo, with properties calculated at the GGA-PBE level.

a b c (Å): 4.4572 4.4572 2.9458
angles (deg): 90.00 90.00 120.00
Closest atoms and distances in Å follow each position.
Space group P3m1 (No. 156)
Unique sites:
Hf (0.0000, 0.0000, 0.0000)  3 Tc 2.76, 3 Mo 2.78, 2 Hf 2.95
Tc (0.6667, 0.3333, 0.3393)  3 Mo 2.73, 3 Hf 2.76, 2 Tc 2.95
Mo (0.3333, 0.6667, 0.6441)  3 Tc 2.73, 3 Hf 2.78, 2 Mo 2.95

Values from the calculation:
Calculated volume ... 16.89 Å³ per atom
DOS(E_F) ... 0.61 states/eV/atom
M_tot ... 0.00 μB/cell

---

Entry z
Below is an optimized crystal structure of HfTcMo, with properties calculated at the GGA-PBE level.

a b c (Å): 3.1932 3.1932 9.9723
angles (deg): 90.00 90.00 90.00
Closest atoms and distances in Å follow each position.
Space group I4mm (No. 107)
Unique sites:
Hf (0.0000, 0.0000, 0.0000)  4 Tc 2.83, 4 Mo 2.88
Tc (0.0000, 0.0000, 0.3282)  4 Mo 2.70, 4 Hf 2.83
Mo (0.0000, 0.0000, 0.6793)  4 Tc 2.70, 4 Hf 2.88

Values from the calculation:
Calculated volume ... 16.95 Å³ per atom
DOS(E_F) ... 0.61 states/eV/atom
M_tot ... 0.00 μB/cell

---

Stability, lowest: entry y

---

Entry w
Below is an optimized crystal structure of HfTcMo, with properties calculated at the GGA-PBE level.

a b c (Å): 4.4526 14.1738 3.2201
angles (deg): 90.00 90.00 90.00
Closest atoms and distances in Å follow each position.
Space group Cmcm (No. 63)
Unique sites:
Hf (0.0000, 0.0884, 0.2500)  4 Tc 2.75, 2 Mo 2.87, 2 Hf 2.98
Tc (0.0000, 0.4138, 0.2500)  4 Hf 2.75, 2 Mo 2.76, 2 Tc 2.93
Mo (0.0000, 0.2558, 0.7500)  4 Mo 2.75, 2 Tc 2.76, 2 Hf 2.87

Values from the calculation:
Calculated volume ... 16.93 Å³ per atom
DOS(E_F) ... 0.73 states/eV/atom
M_tot ... 0.00 μB/cell

---

Entry x
Below is an optimized crystal structure of HfTcMo, with properties calculated at the GGA-PBE level.

a b c (Å): 2.9341 5.2229 7.0366
angles (deg): 76.40 81.38 77.89
Closest atoms and distances in Å follow each position.
Space group P-1 (No. 2)
Unique sites:
Hf (0.0916, 0.0988, 0.1672)  3 Tc 2.70-2.79, 2 Mo 2.79-2.82, 3 Hf 2.93-2.94
Tc (0.4277, 0.4119, 0.8171)  2 Mo 2.67-2.70, 3 Hf 2.70-2.79, 2 Tc 2.93
Mo (0.2657, 0.2504, 0.5002)  2 Tc 2.67-2.70, 4 Mo 2.69-2.93, 2 Hf 2.79-2.82

Values from the calculation:
Calculated volume ... 16.98 Å³ per atom
DOS(E_F) ... 0.59 states/eV/atom
M_tot ... 0.00 μB/cell

---

Entry y
Below is an optimized crystal structure of HfTcMo, with properties calculated at the GGA-PBE level.

a b c (Å): 4.5421 4.5421 5.6458
angles (deg): 90.00 90.00 120.00
Closest atoms and distances in Å follow each position.
Space group P3m1 (No. 156)
Unique sites:
Hf (0.0000, 0.0000, 0.0000)  2 Mo 2.77-2.88, 6 Tc 2.79-2.81
Hf (0.3333, 0.6667, 0.6679)  5 Tc 2.77-2.87, 3 Mo 2.81
Tc (0.3333, 0.6667, 0.1766)  3 Mo 2.77, 5 Hf 2.77-2.87
Tc (0.6667, 0.3333, 0.8319)  6 Hf 2.78-2.79, 2 Mo 2.81-2.83
Mo (0.0000, 0.0000, 0.4899)  5 Hf 2.77-2.88, 3 Mo 2.77
Mo (0.6667, 0.3333, 0.3338)  3 Mo 2.77, 5 Tc 2.77-2.83

Values from the calculation:
Calculated volume ... 16.81 Å³ per atom
DOS(E_F) ... 0.71 states/eV/atom
M_tot ... 0.00 μB/cell

---

Stability, lowest: entry x